This record from the Alexandria database describes an optimized crystal structure of K2LaSi2O6. The functional is PBE-GGA.

a b c (Å): 5.9813 5.9813 18.6700
angles (deg): 90.00 90.00 120.00
Space group R-3m (No. 166, hexagonal axes)
Inequivalent atoms, fractional coordinates:
K  0.0000  0.0000  0.2079 x6
La  0.0000  0.0000  0.0000 x3
Si  0.0000  0.0000  0.4316 x6
O  0.0267  0.5133  0.2520 x18

Summary:
Volume   578.5 Å³/cell
Formation energy from raw total energies   -2534.4 meV/atom

---

This record from the Alexandria database describes an optimized crystal structure of SrAsAu2. The functional is PBE-GGA.

a b c (Å): 4.483 4.483 4.499
angles (deg): 90.00 90.00 90.00
Space group P4/mmm (No. 123)
Inequivalent atoms, fractional coordinates:
Sr  0.000  0.000  0.000 x1
As  0.500  0.500  0.000 x1
Au  0.000  0.500  0.500 x2

Summary:
Volume   90.4 Å³/cell
Energy of formation   -0.367 eV per atom

---

This record from the Alexandria database describes an optimized crystal structure of MnTlSnS3. The functional is PBE-GGA.

a b c (Å): 8.938 4.027 9.322
angles (deg): 90.00 96.44 90.00
Space group P2_1/m (No. 11)
Inequivalent atoms, fractional coordinates:
Mn  0.067  0.250  0.120 x2
Tl  0.166  0.250  0.695 x2
Sn  0.366  0.750  0.359 x2
S  0.146  0.250  0.361 x2
S  0.165  0.750  0.031 x2
S  0.410  0.750  0.640 x2

Summary:
Volume   333.4 Å³/cell
Formation energy from raw total energies   -389.2 meV/atom

---

This record from the Alexandria database describes an optimized crystal structure of Pr3Nd4Tm. The functional is PBE-GGA.

a b c (Å): 10.366 7.337 7.329
angles (deg): 90.00 90.00 90.00
Space group Pmna (No. 53)
Inequivalent atoms, fractional coordinates:
Pr  0.000  0.000  0.000 x2
Pr  0.250  0.253  0.250 x4
Nd  0.000  0.000  0.500 x2
Nd  0.000  0.500  0.000 x2
Nd  0.250  0.253  0.750 x4
Tm  0.000  0.500  0.500 x2

Summary:
Volume   557.4 Å³/cell
Energy of formation   0.012 eV per atom
Excess energy over the best structure of this formula in the dataset   0.000 eV per atom

---

This record from the Alexandria database describes an optimized crystal structure of MnRhSe2. The functional is PBE-GGA.

a b c (Å): 5.625 7.117 3.749
angles (deg): 90.00 90.00 90.00
Space group Cmmm (No. 65)
Inequivalent atoms, fractional coordinates:
Mn  0.000  0.000  0.000 x2
Rh  0.000  0.500  0.000 x2
Se  0.000  0.268  0.500 x4

Summary:
Volume   150.1 Å³/cell
Formation energy from raw total energies   -13.1 meV/atom
Excess energy over the best structure of this formula in the dataset   0.315 eV per atom

---

This record from the Alexandria database describes an optimized crystal structure of NaHgPdF6. The functional is PBE-GGA.

a b c (Å): 5.9011 5.9011 9.1478
angles (deg): 90.00 90.00 120.00
Space group P-31c (No. 163)
Inequivalent atoms, fractional coordinates:
Na  0.0000  0.0000  0.0000 x2
Hg  0.3333  0.6667  0.2500 x2
Pd  0.3333  0.6667  0.7500 x2
F  0.0367  0.3691  0.6315 x12

Summary:
Volume   275.9 Å³/cell
Formation energy from raw total energies   -1636.1 meV/atom